Record 1
{"formula": "Cs2YHF6", "functional": "PBE-GGA", "state": "relaxed", "spacegroup": "No. 139", "magmom_total_mub_per_fu": 0.0, "final_energy_ev_per_cell": -50.3, "cell": [[-2.8140, 2.8140, 5.7615], [2.8140, -2.8140, 5.7615], [2.8140, 2.8140, -5.7615]], "species": ["Cs", "Cs", "Y", "H", "F", "F", "F", "F", "F", "F"], "fractional_positions": [[0.2500, 0.7500, 0.5000], [0.7500, 0.2500, 0.5000], [0.0000, 0.0000, 0.0000], [0.5000, 0.5000, 0.0000], [0.1894, 0.1894, 0.0000], [0.2794, 0.2794, 0.5588], [0.2794, 0.7206, 0.0000], [0.7206, 0.2794, 0.0000], [0.7206, 0.7206, 0.4412], [0.8106, 0.8106, 0.0000]]}

Record 2
{"formula": "Cs2ZrHF6", "functional": "PBE-GGA", "state": "relaxed", "spacegroup": "No. 139", "magmom_total_mub_per_fu": 1.0, "final_energy_ev_per_cell": -53.0, "cell": [[-3.3633, 3.3633, 4.7739], [3.3633, -3.3633, 4.7739], [3.3633, 3.3633, -4.7739]], "species": ["Cs", "Cs", "Zr", "H", "F", "F", "F", "F", "F", "F"], "fractional_positions": [[0.2500, 0.7500, 0.5000], [0.7500, 0.2500, 0.5000], [0.0000, 0.0000, 0.0000], [0.5000, 0.5000, 0.0000], [0.2138, 0.2138, 0.0000], [0.2145, 0.2145, 0.4290], [0.2145, 0.7855, 0.0000], [0.7855, 0.2145, 0.0000], [0.7855, 0.7855, 0.5710], [0.7862, 0.7862, 0.0000]]}

Record 3
{"formula": "Cs2HfF", "functional": "PBE-GGA", "state": "relaxed", "relative_energy_mev_per_atom": 425, "spacegroup": "No. 225", "magmom_total_mub_per_fu": 3.0, "e_form_raw_mev_per_atom": 367, "cell": [[0.0000, 4.5598, 4.5598], [4.5598, 0.0000, 4.5598], [4.5598, 4.5598, 0.0000]], "species": ["Cs", "Cs", "Hf", "F"], "fractional_positions": [[0.2500, 0.2500, 0.2500], [0.7500, 0.7500, 0.7500], [0.0000, 0.0000, 0.0000], [0.5000, 0.5000, 0.5000]]}

Record 4
{"formula": "Cs3HfF7", "functional": "PBE-GGA", "state": "relaxed", "spacegroup": "No. 8", "magmom_total_mub_per_fu": 0.0, "e_form_raw_mev_per_atom": -3327, "cell": [[4.8332, -4.6230, 0.0000], [4.8332, 4.6230, 0.0000], [-4.6113, 0.0000, 5.6012]], "species": ["Cs", "Cs", "Cs", "Hf", "F", "F", "F", "F", "F", "F", "F"], "fractional_positions": [[0.0000, 0.0000, 0.0000], [0.2656, 0.7475, 0.5477], [0.7475, 0.2656, 0.5477], [0.5425, 0.5425, 0.0966], [0.2355, 0.5049, 0.8059], [0.3794, 0.3794, 0.1849], [0.3903, 0.8175, 0.2229], [0.5049, 0.2355, 0.8059], [0.7056, 0.7056, 0.0105], [0.7836, 0.7836, 0.4603], [0.8175, 0.3903, 0.2229]]}